KTiCd2Bi (SCAN, single point on PBEsol structure); E = -32.7113 eV/atom; mass density = 5.502 g/cm3; formation energy from the elements = 42 meV/atom
1.0
5.311 0.000 0.000
0.000 5.440 0.000
0.000 0.000 5.440
K Ti Bi Cd
1 1 1 2
direct
0.500 0.500 0.500
0.000 0.000 0.000
0.500 0.000 0.000
0.000 0.000 0.500
0.000 0.500 0.000